1.
Y2FeBi | OQMD | GGA-PBE | relaxed; electronic total energy = -24.371 eV/f.u.
1.0
-2.6250 -3.4926 -2.5022
-2.9361 -3.2248 2.5159
-5.0101 0.3732 -0.3305
Bi Y Fe
1 2 1
Cartesian
-5.2856 -3.1721 -0.1584
0.0000 0.0000 0.0000
-7.9284 -4.7582 -0.2376
-2.6428 -1.5861 -0.0792

---

2.
YFe2Bi | OQMD | GGA-PBE | relaxed; electronic total energy = -25.994 eV/f.u.
1.0
0.0000 3.3992 3.3992
3.3992 0.0000 3.3992
3.3992 3.3992 0.0000
Bi Fe Y
1 2 1
Cartesian
3.3992 3.3992 3.3992
0.0000 0.0000 0.0000
5.0988 5.0988 5.0988
1.6996 1.6996 1.6996

---

3.
YZrFeBi | OQMD | GGA-PBE | relaxed; electronic total energy = -26.082 eV/f.u.
1.0
-3.3511 1.7791 3.2558
-4.2747 1.9977 -1.6528
-4.3230 -2.4101 0.7060
Bi Fe Zr Y
1 1 1 1
Cartesian
0.0000 0.0000 0.0000
-8.9616 1.0250 1.7318
-5.9744 0.6833 1.1545
-2.9872 0.3417 0.5773

---

4.
ZnFe2Bi | OQMD | GGA-PBE | relaxed; electronic total energy = -20.301 eV/f.u.
1.0
6.4715 0.0000 0.0000
0.0000 6.4715 0.0000
0.0000 0.0000 6.4715
Fe Bi Zn
8 4 4
Cartesian
5.1162 5.1162 1.3553
5.1162 5.1162 5.1162
1.3553 5.1162 5.1162
5.1162 1.3553 1.3553
1.3553 1.3553 5.1162
5.1162 1.3553 5.1162
1.3553 1.3553 1.3553
1.3553 5.1162 1.3553
3.2358 3.2358 0.0000
3.2358 0.0000 3.2358
3.2358 3.2358 3.2358
0.0000 3.2358 3.2358
0.0000 3.2358 0.0000
0.0000 0.0000 3.2358
0.0000 0.0000 0.0000
3.2358 0.0000 0.0000

---

5.
ZnFeBi | OQMD | GGA-PBE | relaxed; electronic total energy = -11.542 eV/f.u.
1.0
0.0000 3.2369 3.2369
3.2369 0.0000 3.2369
3.2369 3.2369 0.0000
Fe Zn Bi
1 1 1
Cartesian
1.6185 1.6185 1.6185
4.8554 4.8554 4.8554
0.0000 0.0000 0.0000

---

6.
ZnFeBi | OQMD | GGA-PBE | relaxed; electronic total energy = -11.589 eV/f.u.
1.0
-5.9171 4.2228 -1.7904
-0.4009 -4.7511 5.7720
1.2204 2.6820 2.2924
Fe Zn Bi
3 3 3
Cartesian
-1.7505 1.1436 2.6339
0.3591 -1.6349 4.7615
-3.0960 3.9859 0.0248
-0.1126 -1.3348 1.6217
-1.6624 1.1864 -0.5030
-4.5429 -0.3799 2.8630
0.6102 1.3410 1.1462
-2.2396 -1.7598 3.2512
-4.0784 1.2315 0.7304

---

7.
ZnFeBi | OQMD | GGA-PBE | relaxed; electronic total energy = -11.961 eV/f.u.
1.0
4.4758 0.0000 0.0000
-2.2379 3.8761 0.0000
0.0000 0.0000 7.9044
Zn Bi Fe
2 2 2
Cartesian
2.2379 1.2921 5.0926
0.0000 2.5841 1.1405
0.0000 2.5841 3.8671
2.2379 1.2921 7.8193
0.0000 0.0000 4.8728
0.0000 0.0000 0.9207

---

8.
ZnFeBi | OQMD | GGA-PBE | relaxed; electronic total energy = -12.019 eV/f.u.
1.0
-0.8294 -1.2171 4.6534
1.8795 -3.2836 -3.0836
5.1378 1.6705 1.3527
Bi Fe Zn
2 2 2
Cartesian
4.8299 -1.3419 0.5099
1.3580 -1.4883 2.4126
2.5689 0.8353 0.6764
0.0000 0.0000 0.0000
2.2610 -2.1772 -0.1664
3.9269 -0.6531 3.0889

---

9.
ZnFeBi | OQMD | GGA-PBE | relaxed; electronic total energy = -12.011 eV/f.u.
1.0
-3.0038 2.9338 2.3597
-1.6636 -2.8081 -3.5419
-1.0528 -4.0730 3.7236
Zn Bi Fe
2 2 2
Cartesian
0.0000 0.0000 0.0000
-0.5264 -2.0365 1.8618
-3.3467 -2.0349 3.1852
-2.3736 -1.9124 -0.6438
-2.8203 0.0016 1.3234
-2.9000 -3.9488 1.2180

---

10.
ZnFe2Bi | OQMD | GGA-PBE | relaxed; electronic total energy = -20.299 eV/f.u.
1.0
-5.2802 3.7294 -0.1508
-3.1487 -4.5910 -3.2893
-2.0041 -2.6126 5.5650
Fe Zn Bi
8 4 4
Cartesian
-3.8650 -2.1054 2.9567
-5.1897 -4.0369 1.5729
-6.5680 -1.3688 -0.8318
-5.2433 0.5627 0.5521
-7.4112 -2.4679 1.5095
-4.3466 -2.9378 -0.7684
-6.0865 -0.5364 2.8933
-3.0219 -1.0063 0.6155
-4.2144 -0.4308 -1.7200
-3.6422 0.5584 2.7071
-2.5764 -3.6018 1.1379
-5.2165 -1.7371 1.0625
-1.5744 -2.2955 -1.6446
0.0000 0.0000 0.0000
-2.6401 1.8647 -0.0754
-1.0021 -1.3063 2.7825

---

11.
ZnFe2Bi | OQMD | GGA-PBE | relaxed; electronic total energy = -19.783 eV/f.u.
1.0
0.0000 3.1775 3.1775
3.1775 0.0000 3.1775
3.1775 3.1775 0.0000
Fe Zn Bi
2 1 1
Cartesian
4.7662 4.7662 4.7662
3.1775 3.1775 3.1775
1.5887 1.5887 1.5887
0.0000 0.0000 0.0000

---

12.
ZnFeBi | OQMD | GGA-PBE | relaxed; electronic total energy = -12.463 eV/f.u.
1.0
-6.7360 1.1067 0.0288
2.7482 -4.2062 -4.6212
-0.5601 -3.4825 2.8367
Bi Zn Fe
3 3 3
Cartesian
-0.2800 -1.7413 1.4183
-3.5746 -0.6642 -1.5212
-0.4132 -2.4352 -3.0712
-3.0716 -1.2826 1.4303
0.8589 -3.4844 -0.4968
-2.6152 -3.5562 -1.2708
-3.1449 -2.4443 -3.6217
0.5809 -0.8891 -0.9768
-1.4239 0.2339 0.0061